Compound: CdFeO2F
Source: Alexandria
Functional: PBE with a Hubbard U
Structure: optimized geometry Values from VASP.

```
&SYSTEM
  ibrav = 0, nat = 5, ntyp = 4
/
ATOMIC_SPECIES
Cd 112.41 Cd.upf
Fe 55.84 Fe.upf
O 16.00 O.upf
F 19.00 F.upf
ATOMIC_POSITIONS angstrom
Cd 0.0000 0.0000 0.0000
Fe 1.9758 1.9758 1.9548
O 0.0000 1.9758 1.9548
O 1.9758 0.0000 1.9548
F 1.9758 1.9758 0.0000
CELL_PARAMETERS angstrom
3.9517 0.0000 0.0000
0.0000 3.9517 0.0000
0.0000 0.0000 3.9096
```

Output
- energy (eV per cell) = -24.83
- spin magnetization (Bohr magnetons per cell) = 4.93
- theoretical density (Mg/m³) = 5.96
- D(E_F) (states/eV per atom) = 0.117